Material: RhW2Au
Method: DFT, PBE-GGA
State: relaxed

Results
The total energy is -8.90 eV/atom. Its energy relative to the lowest polymorph listed for this composition is 120 meV/atom. Its space group is P2/m. The value obtained for the energy of formation is 0.2309 eV per atom.

```
4
Lattice="2.907 0.000 0.000 0.000 4.715 0.000 0.000 1.499 4.646" Properties=species:S:1:pos:R:3 pbc="T T T"
Rh 0.000 3.107 2.323
W 0.000 0.000 0.000
W 1.453 2.358 0.000
Au 1.453 0.750 2.323
```


Material: ZrTlFe2
Method: DFT, PBE-GGA
State: relaxed

Results
The total energy is -6.72 eV/atom. Its energy relative to the lowest polymorph listed for this composition is 98 meV/atom. Its space group is Fm-3m. The value obtained for the energy of formation is 0.2361 eV per atom.

```
4
Lattice="0.000 3.165 3.165 3.165 0.000 3.165 3.165 3.165 0.000" Properties=species:S:1:pos:R:3 pbc="T T T"
Tl 3.165 3.165 3.165
Fe 1.582 1.582 1.582
Fe 4.747 4.747 4.747
Zr 0.000 0.000 0.000
```


Material: LaH8Rh4
Method: DFT, PBE-GGA
State: relaxed

Results
The total energy is -4.88 eV/atom. Its space group is P-1.

```
13
Lattice="5.050 0.111 -3.030 -3.160 4.599 -0.004 -0.153 -0.108 6.220" Properties=species:S:1:pos:R:3 pbc="T T T"
La -1.656 2.245 3.108
H -0.096 3.333 -0.380
H 1.833 1.268 3.565
H 1.377 0.959 -0.452
H 3.731 0.876 2.191
H 0.360 3.642 3.637
H 2.137 3.199 2.188
H -0.400 1.402 0.997
H -1.993 3.725 0.995
Rh 0.000 0.000 0.000
Rh -1.580 2.300 -0.002
Rh 0.945 2.355 -1.517
Rh 2.525 0.055 -1.515
```


Material: NaThSnAu
Method: DFT, PBE-GGA
State: relaxed

Results
The total energy is -4.42 eV/atom. Its space group is F-43m. The value obtained for the energy of formation is -0.4164 eV per atom.

```
4
Lattice="5.262 0.000 0.000 2.631 4.557 0.000 2.631 1.519 4.296" Properties=species:S:1:pos:R:3 pbc="T T T"
Na 5.262 3.038 2.148
Au 7.893 4.557 3.222
Sn 2.631 1.519 1.074
Th 0.000 0.000 0.000
```


Material: SrCd3Rh2
Method: DFT, PBE-GGA
State: relaxed

Results
The total energy is -3.43 eV/atom. Its space group is Cmcm. The value obtained for the energy of formation is -0.2443 eV per atom.

```
12
Lattice="-4.643 -3.815 -0.699 4.110 -5.168 0.906 -1.506 0.650 6.460" Properties=species:S:1:pos:R:3 pbc="T T T"
Sr -0.186 -2.645 2.583
Sr -1.853 -5.688 4.085
Cd -1.749 -5.133 0.363
Cd -3.853 -2.953 2.444
Cd -0.290 -3.200 6.305
Cd -0.881 -7.374 6.834
Cd -1.158 -0.959 -0.166
Cd 1.814 -5.380 4.223
Rh 0.468 -5.707 1.863
Rh 2.789 -3.800 2.212
Rh -0.185 -0.719 5.154
Rh -2.507 -2.626 4.805
```


Material: Pd3PbAu
Method: DFT, PBE-GGA
State: relaxed

Results
The total energy is -3.65 eV/atom. Its energy relative to the lowest polymorph listed for this composition is 948 meV/atom. Its space group is Pm-3m. The value obtained for the energy of formation is 0.8591 eV per atom.

```
5
Lattice="-0.846 3.839 -3.133 -1.504 -3.227 -3.548 -4.721 0.340 1.692" Properties=species:S:1:pos:R:3 pbc="T T T"
Pb 0.000 0.000 0.000
Au -3.535 0.476 -2.495
Pd -0.752 -1.614 -1.774
Pd -2.361 0.170 0.846
Pd -0.423 1.919 -1.566
```


Material: RbCdF3
Method: DFT, PBE-GGA
State: relaxed

Results
The total energy is -3.60 eV/atom. Its space group is P4mm. The calculation puts the uncorrected formation energy at -2.10 eV per atom.

```
5
Lattice="-3.576 -0.976 1.204 -0.945 -1.025 -3.639 2.167 -6.407 1.242" Properties=species:S:1:pos:R:3 pbc="T T T"
F 1.632 -4.825 0.935
F -0.911 -3.079 1.104
F 0.404 -3.104 -1.317
Rb 0.298 -0.881 0.171
Cd -1.037 -4.616 -0.517
```


Material: Li2BeSi2
Method: DFT, PBE-GGA
State: relaxed

Results
The total energy is -3.72 eV/atom. Its space group is P4/mbm. The calculation puts the uncorrected formation energy at -0.04 eV per atom.

```
10
Lattice="-4.845 -0.989 3.105 2.727 -4.275 2.894 1.306 2.819 2.934" Properties=species:S:1:pos:R:3 pbc="T T T"
Be 0.000 0.000 0.000
Be -1.059 -2.632 3.000
Si 0.607 -4.018 3.590
Si -2.400 -3.596 4.522
Si -2.725 -1.246 2.410
Si 0.282 -1.668 1.477
Li 1.669 -1.593 3.899
Li -0.286 -2.821 5.948
Li -2.481 -0.852 5.034
Li -0.526 0.375 2.985
```


Material: PmSmCu3
Method: DFT, PBE-GGA
State: relaxed

Results
The total energy is -4.56 eV/atom. Its space group is Cmcm. The value obtained for the energy of formation is -0.2082 eV per atom.

```
10
Lattice="-2.506 -1.115 -3.359 1.632 -3.353 -0.105 -9.765 -2.935 8.260" Properties=species:S:1:pos:R:3 pbc="T T T"
Pm -5.135 -4.699 3.991
Pm -5.505 -2.704 0.806
Sm -1.878 -0.924 0.308
Sm -8.761 -6.480 4.489
Cu -7.496 -3.819 5.460
Cu -3.144 -3.585 -0.664
Cu -9.175 -4.684 7.000
Cu -1.464 -2.719 -2.204
Cu -7.828 -3.902 2.937
Cu -2.811 -3.502 1.860
```


Material: Mg2TlBr
Method: DFT, PBE-GGA
State: relaxed

Results
The total energy is -2.10 eV/atom. Its energy relative to the lowest polymorph listed for this composition is 72 meV/atom. Its space group is P4/mmm. The calculation puts the uncorrected formation energy at -0.29 eV per atom.

```
4
Lattice="-3.155 -0.893 -1.415 -0.042 -2.976 1.973 -3.740 3.936 5.856" Properties=species:S:1:pos:R:3 pbc="T T T"
Br -4.404 1.017 4.672
Mg -0.047 0.049 0.073
Mg -1.823 1.919 2.855
Tl -2.534 -0.951 1.743
```


Material: Tb6NdY
Method: DFT, PBE-GGA
State: relaxed

Results
The total energy is -4.86 eV/atom. Its energy relative to the lowest polymorph listed for this composition is 6 meV/atom. Its space group is P4/mmm. The value obtained for the energy of formation is 0.0210 eV per atom.

```
8
Lattice="5.062 0.000 0.000 0.000 5.062 0.000 0.000 0.000 10.116" Properties=species:S:1:pos:R:3 pbc="T T T"
Tb 2.531 2.531 0.000
Tb 2.531 2.531 5.058
Tb 2.531 0.000 2.542
Tb 2.531 0.000 7.574
Tb 0.000 2.531 2.542
Tb 0.000 2.531 7.574
Nd 0.000 0.000 0.000
Y 0.000 0.000 5.058
```


Material: Sm4Sn8Ru
Method: DFT, PBE-GGA
State: relaxed

Results
The total energy is -5.19 eV/atom. Its space group is Pmm2. The value obtained for the energy of formation is -0.5655 eV per atom.

```
13
Lattice="4.477 0.000 0.000 0.000 4.549 0.000 0.000 0.000 16.881" Properties=species:S:1:pos:R:3 pbc="T T T"
Sm 0.000 0.000 1.571
Sm 0.000 2.274 10.245
Sm 2.238 2.274 6.655
Sm 2.238 0.000 15.195
Sn 0.000 0.000 7.781
Sn 0.000 2.274 15.759
Sn 2.238 2.274 0.990
Sn 2.238 0.000 9.749
Sn 0.000 2.274 3.905
Sn 0.000 0.000 12.702
Sn 2.238 0.000 3.886
Sn 2.238 2.274 12.753
Ru 0.000 0.000 5.208
```


Material: Pr2YSc
Method: DFT, PBE-GGA
State: relaxed

Results
The total energy is -5.54 eV/atom. Its energy relative to the lowest polymorph listed for this composition is 9 meV/atom. Its space group is P-1. The value obtained for the energy of formation is 0.0482 eV per atom.

```
8
Lattice="6.085 0.768 -0.530 1.043 6.983 -0.921 -0.636 0.905 6.083" Properties=species:S:1:pos:R:3 pbc="T T T"
Pr 5.003 6.789 2.615
Pr 1.489 1.866 2.017
Pr 5.079 4.610 -0.118
Pr 1.413 4.045 4.750
Y 4.577 1.123 0.291
Y 1.915 7.532 4.342
Sc 2.023 5.331 1.507
Sc 4.469 3.325 3.125
```


Material: YRh2Se
Method: DFT, PBE-GGA
State: relaxed

Results
The total energy is -6.68 eV/atom. Its space group is P4mm. The calculation puts the uncorrected formation energy at -0.52 eV per atom.

```
4
Lattice="3.667 0.000 0.000 0.000 3.667 0.000 0.000 0.000 5.541" Properties=species:S:1:pos:R:3 pbc="T T T"
Rh 0.000 0.000 0.257
Rh 1.833 1.833 1.188
Se 0.000 0.000 2.738
Y 1.833 1.833 4.128
```


Material: Tb2HgRh
Method: DFT, PBE-GGA
State: relaxed

Results
The total energy is -4.84 eV/atom. Its energy relative to the lowest polymorph listed for this composition is 74 meV/atom. Its space group is Fm-3m. The value obtained for the energy of formation is -0.6066 eV per atom.

```
4
Lattice="5.072 0.000 0.000 2.536 4.392 0.000 2.536 1.464 4.141" Properties=species:S:1:pos:R:3 pbc="T T T"
Rh 5.072 2.928 2.071
Tb 2.536 1.464 1.035
Tb 7.608 4.392 3.106
Hg 0.000 0.000 0.000
```


Material: TbEr12Tm3
Method: DFT, PBE-GGA
State: relaxed

Results
The total energy is -4.53 eV/atom. Its space group is P4/mmm. The value obtained for the energy of formation is 0.0231 eV per atom.

```
16
Lattice="4.947 0.000 0.000 0.000 4.947 0.000 0.000 0.000 19.787" Properties=species:S:1:pos:R:3 pbc="T T T"
Tb 0.000 0.000 0.000
Er 2.473 2.473 0.000
Er 2.473 2.473 4.962
Er 2.473 2.473 9.894
Er 2.473 2.473 14.825
Er 2.473 0.000 2.490
Er 2.473 0.000 7.426
Er 2.473 0.000 12.362
Er 2.473 0.000 17.297
Er 0.000 2.473 2.490
Er 0.000 2.473 7.426
Er 0.000 2.473 12.362
Er 0.000 2.473 17.297
Tm 0.000 0.000 4.957
Tm 0.000 0.000 9.894
Tm 0.000 0.000 14.830
```


Material: Th3TiPt12
Method: DFT, PBE-GGA
State: relaxed

Results
The total energy is -7.43 eV/atom. Its space group is P4/mmm. The value obtained for the energy of formation is -1.0156 eV per atom.

```
16
Lattice="-1.698 3.609 -1.260 -2.316 -2.068 -2.802 -12.021 -1.740 11.221" Properties=species:S:1:pos:R:3 pbc="T T T"
Th -2.894 -0.419 2.701
Th -6.011 -0.870 5.610
Th -9.128 -1.321 8.520
Ti 0.000 0.000 0.000
Pt -2.007 0.770 -2.031
Pt -4.908 0.350 0.676
Pt -8.018 -0.100 3.579
Pt -11.128 -0.550 6.482
Pt -2.185 1.611 0.617
Pt -5.308 1.159 3.532
Pt -8.411 0.710 6.428
Pt -11.535 0.258 9.344
Pt -2.494 -1.228 -0.155
Pt -5.617 -1.680 2.761
Pt -8.720 -2.129 5.657
Pt -11.844 -2.581 8.573
```


Material: MgZr4Sc8
Method: DFT, PBE-GGA
State: relaxed

Results
The total energy is -6.47 eV/atom. Its space group is P-1. The value obtained for the energy of formation is 0.1802 eV per atom.

```
13
Lattice="-0.505 6.104 -1.962 -5.352 -1.528 -3.254 -3.903 -4.365 8.432" Properties=species:S:1:pos:R:3 pbc="T T T"
Mg -4.628 -2.947 2.589
Zr 0.000 0.000 0.000
Zr -2.676 -0.764 -1.627
Zr -2.929 2.288 -2.608
Zr -0.253 3.052 -0.981
Sc -5.381 0.818 -1.154
Sc -4.380 -0.607 4.371
Sc -2.649 1.588 0.502
Sc -4.626 2.390 3.417
Sc -7.111 -1.377 2.715
Sc -7.360 1.616 1.758
Sc -2.401 -1.404 1.459
Sc -5.135 -2.179 -0.201
```


Material: PrSmYMg
Method: DFT, PBE-GGA
State: relaxed

Results
The total energy is -4.35 eV/atom. Its energy relative to the lowest polymorph listed for this composition is 74 meV/atom. Its space group is F-43m. The value obtained for the energy of formation is 0.0351 eV per atom.

```
4
Lattice="5.622 0.000 0.000 2.811 4.869 0.000 2.811 1.623 4.591" Properties=species:S:1:pos:R:3 pbc="T T T"
Pr 2.811 1.623 1.148
Y 0.000 0.000 0.000
Mg 5.622 3.246 2.295
Sm 8.434 4.869 3.443
```


| no. | total magnetization (μB per formula unit) |
| --- | --- |
| 1 | 0.00 |
| 2 | 0.99 |
| 3 | 0.00 |
| 4 | 0.00 |
| 5 | 0.00 |
| 6 | 0.00 |
| 7 | 0.00 |
| 8 | 0.00 |
| 9 | 0.00 |
| 10 | 0.00 |
| 11 | 0.00 |
| 12 | 0.00 |
| 13 | 0.00 |
| 14 | 0.00 |
| 15 | 0.00 |
| 16 | 0.00 |
| 17 | 0.02 |
| 18 | 0.00 |
| 19 | 0.00 |